Here is crystalline TlGe2Au4 at its relaxed geometry from Alexandria via LeMat-Bulk. Energies are from GGA-PBE.

Calculated values
M_tot (μB per formula unit): 0.00
E_form (eV/atom): 0.063
Space group: P1 (1)

Cell lengths 6.576, 6.546, 8.432 Å; angles 112.71, 113.13, 89.99 degrees
Atoms (fractional coordinates):
1 Au 0.760 0.015 0.623
2 Au 0.863 0.606 0.622
3 Au 0.388 0.733 0.877
4 Au 0.856 0.511 0.122
5 Au 0.491 0.143 0.878
6 Au 0.264 0.613 0.122
7 Au 0.393 0.139 0.376
8 Au 0.987 0.240 0.379
9 Ge 0.680 0.877 0.250
10 Ge 0.624 0.430 0.749
11 Ge 0.125 0.319 0.751
12 Ge 0.570 0.376 0.249
13 Tl 0.251 0.750 0.500
14 Tl 0.997 0.997 0.000

***

Here is crystalline Li2BeAl at its relaxed geometry from Alexandria via LeMat-Bulk. Energies are from GGA-PBE.

Calculated values
M_tot (μB per formula unit): 0.00
E_form (eV/atom): 0.206
Energy relative to the lowest polymorph listed for this composition (meV per atom): 238.5
Space group: R-3m (166)

Cell lengths 9.078, 9.078, 9.078 Å; angles 17.12, 17.12, 17.12 degrees
Atoms (fractional coordinates):
1 Be 0.750 0.750 0.750
2 Al 0.250 0.250 0.250
3 Li 0.496 0.496 0.496
4 Li 0.004 0.004 0.004

***

Here is crystalline NaYSnI6 at its relaxed geometry from Alexandria via LeMat-Bulk. Energies are from GGA-PBE.

Calculated values
M_tot (μB per formula unit): 0.00
Space group: P-31c (163)
E_form (uncorrected) (eV/atom): -1.032

Cell lengths 7.868, 7.868, 14.062 Å; angles 90.00, 90.00, 120.00 degrees
Atoms (fractional coordinates):
1 I 0.649 0.665 0.625
2 I 0.351 0.016 0.125
3 I 0.984 0.335 0.125
4 I 0.649 0.984 0.875
5 I 0.335 0.984 0.625
6 I 0.335 0.351 0.875
7 I 0.016 0.351 0.625
8 I 0.016 0.665 0.875
9 I 0.351 0.335 0.375
10 I 0.665 0.649 0.125
11 I 0.665 0.016 0.375
12 I 0.984 0.649 0.375
13 Y 0.667 0.333 0.250
14 Y 0.333 0.667 0.750
15 Na 0.667 0.333 0.750
16 Na 0.333 0.667 0.250
17 Sn 0.000 0.000 0.500
18 Sn 0.000 0.000 0.000

***

Here is crystalline PrNd4Hg5 at its relaxed geometry from Alexandria via LeMat-Bulk. Energies are from GGA-PBE.

Calculated values
M_tot (μB per formula unit): 2.30
E_form (eV/atom): -0.472
Space group: P4/mmm (123)

Cell lengths 3.850, 3.850, 19.156 Å; angles 90.00, 90.00, 90.00 degrees
Atoms (fractional coordinates):
1 Nd 0.000 0.000 0.600
2 Nd 0.000 0.000 0.201
3 Nd 0.000 0.000 0.799
4 Nd 0.000 0.000 0.400
5 Pr 0.000 0.000 0.000
6 Hg 0.500 0.500 0.898
7 Hg 0.500 0.500 0.500
8 Hg 0.500 0.500 0.301
9 Hg 0.500 0.500 0.102
10 Hg 0.500 0.500 0.699